VASP calculation (GGA+U) on a relaxed structure of RbIrWF2.

Summary:
mass density = 8.215 g/cm3
size of the total moment = 0.36 μB per atom
electronic total energy = -4.805 eV per atom

Unit cell a=4.464 b=4.464 c=5.067 alpha=90.00 beta=90.00 gamma=90.00
Space group P4/mmm (No. 123)
One atom of each set of equivalent atoms:
Rb1 0.000 0.000 0.000 x1
Ir1 0.500 0.500 0.000 x1
W1 0.500 0.500 0.500 x1
F1 0.000 0.500 0.500 x2